Density functional theory data (PBE+U) for crystalline K2VOsO6 at its relaxed geometry.

It has space group I4/mmm (No. 139), with a = 5.576 Å, b = 5.576 Å, c = 7.733 Å, α = 90.00°, β = 90.00° and γ = 90.00°. The asymmetric unit holds K at (0.000, 0.500, 0.250), V at (0.000, 0.000, 0.000), Os at (0.000, 0.000, 0.500), O at (0.000, 0.000, 0.247) and O at (0.244, 0.244, 0.500).

Its total moment is 1.1 Bohr magnetons per cell. For the final energy, the calculation gives -6.62 eV/atom.